Material: LiHf3Cd
Method: DFT, GGA-PBE
State: optimized geometry

abc: 4.7202 4.7202 4.7202
angles: 90.00 90.00 90.00
Space group Pm-3m (No. 221)
Unique sites:
Li 0.0000 0.0000 0.0000 x1
Hf 0.0000 0.0000 0.5000 x3
Cd 0.5000 0.5000 0.5000 x1

Summary:
- Magnetization: 0.000 Bohr magnetons per cell
- ρ: 10.34 g/cm³
- DFT formation energy: 706 meV per atom
- Offset from the most stable computed form: 0 meV/atom
- E_tot: -0.429 Ry/atom